Below is a relaxed structure of BaLi5Pd2, with properties calculated at the PBE level.

Results
calculated formation energy: -0.2860 eV per atom
total magnetization: 0.00 Bohr magnetons per cell

Lattice parameters (Å, degrees): 4.223 6.789 6.789 72.73 71.88 71.88
Sites, in units of the cell vectors:
1 Ba 0.000 0.000 0.000
2 Li 0.000 0.500 0.500
3 Li 0.672 0.505 0.151
4 Li 0.328 0.495 0.849
5 Li 0.328 0.849 0.495
6 Li 0.672 0.151 0.505
7 Pd 0.745 0.755 0.755
8 Pd 0.255 0.245 0.245

***

Below is a relaxed structure of BaLiPd3, with properties calculated at the PBE level.

Results
calculated formation energy: 0.8098 eV per atom
total magnetization: 0.00 Bohr magnetons per cell
energy above the lowest structure with this stoichiometry: 1.0874 eV per atom

Lattice parameters (Å, degrees): 5.506 5.506 5.506 90.00 90.00 90.00
Sites, in units of the cell vectors:
1 Ba 0.000 0.000 0.000
2 Pd 0.000 0.500 0.000
3 Pd 0.000 0.000 0.500
4 Pd 0.500 0.000 0.000
5 Li 0.500 0.500 0.500

***

Below is a relaxed structure of BaLi3Pd, with properties calculated at the PBE level.

Results
calculated formation energy: -0.1351 eV per atom
total magnetization: 0.00 Bohr magnetons per cell
energy above the lowest structure with this stoichiometry: 0.0695 eV per atom

Lattice parameters (Å, degrees): 5.061 5.061 5.061 90.00 90.00 90.00
Sites, in units of the cell vectors:
1 Ba 0.500 0.500 0.500
2 Pd 0.000 0.000 0.000
3 Li 0.000 0.500 0.000
4 Li 0.000 0.000 0.500
5 Li 0.500 0.000 0.000